Here is crystalline TbTm2ThSb4 at its relaxed geometry from the Alexandria database. Energies are from PBE.

It has space group P2/m (No. 10), with a = 7.6016 Å, b = 4.4071 Å, c = 7.6175 Å, α = 90.00°, β = 109.51° and γ = 90.00°. The inequivalent atoms are Tb at (0.0000, 0.0000, 0.0000), Tm at (0.5000, 0.0000, 0.5000), Tm at (0.5000, 0.5000, 0.0000), Th at (0.0000, 0.5000, 0.5000), Sb at (0.2571, 0.5000, 0.2494) and Sb at (0.2599, 0.0000, 0.7569).

The density of states at the Fermi level comes out at 0.211 states/eV per atom. The formation energy from raw total energies is -1.058 eV/atom. The value obtained for the total energy is -45.94 eV/cell.

Here is crystalline Tb3YTh2Sb6 at its relaxed geometry from the Alexandria database. Energies are from PBE.

It has space group C2/m (No. 12), with a = 19.3328 Å, b = 4.4466 Å, c = 8.8611 Å, α = 90.00°, β = 103.21° and γ = 90.00°. The inequivalent atoms are Tb at (0.0000, 0.0000, 0.0000), Tb at (0.1671, 0.5000, 0.3341), Y at (0.0000, 0.0000, 0.5000), Th at (0.1648, 0.5000, 0.8308), Sb at (0.0024, 0.5000, 0.2515), Sb at (0.1655, 0.0000, 0.0874) and Sb at (0.1661, 0.0000, 0.5776).

The density of states at the Fermi level comes out at 0.385 states/eV per atom. The formation energy from raw total energies is -1.079 eV/atom. The value obtained for the total energy is -145.75 eV/cell.

Here is crystalline TbYTh2Sb5 at its relaxed geometry from the Alexandria database. Energies are from PBE.

It has space group P4/mmm (No. 123), with a = 5.2757 Å, b = 5.2757 Å, c = 11.4706 Å, α = 90.00°, β = 90.00° and γ = 90.00°. The inequivalent atoms are Tb at (0.0000, 0.0000, 0.0000), Y at (0.0000, 0.0000, 0.5000), Th at (0.5000, 0.5000, 0.2000), Sb at (0.0000, 0.0000, 0.2529), Sb at (0.0000, 0.5000, 0.0000) and Sb at (0.5000, 0.5000, 0.5000).

The density of states at the Fermi level comes out at 0.602 states/eV per atom. The formation energy from raw total energies is -0.181 eV/atom. The value obtained for the total energy is -48.18 eV/cell.

Here is crystalline TbY3Th2Sb6 at its relaxed geometry from the Alexandria database. Energies are from PBE.

It has space group C2/m (No. 12), with a = 19.3072 Å, b = 4.4440 Å, c = 8.8496 Å, α = 90.00°, β = 103.12° and γ = 90.00°. The inequivalent atoms are Tb at (0.0000, 0.0000, 0.0000), Y at (0.0000, 0.0000, 0.5000), Y at (0.1670, 0.5000, 0.8341), Th at (0.1649, 0.5000, 0.3309), Sb at (0.0025, 0.5000, 0.7507), Sb at (0.1654, 0.0000, 0.5879) and Sb at (0.1664, 0.0000, 0.0773).

The density of states at the Fermi level comes out at 0.381 states/eV per atom. The formation energy from raw total energies is -1.084 eV/atom. The value obtained for the total energy is -153.21 eV/cell.

Here is crystalline Tb2YTh3Sb6 at its relaxed geometry from the Alexandria database. Energies are from PBE.

It has space group C2/m (No. 12), with a = 19.3975 Å, b = 4.4619 Å, c = 8.8775 Å, α = 90.00°, β = 102.98° and γ = 90.00°. The inequivalent atoms are Tb at (0.1667, 0.0000, 0.3332), Y at (0.0000, 0.5000, 0.0000), Th at (0.0000, 0.5000, 0.5000), Th at (0.1668, 0.0000, 0.8332), Sb at (0.0016, 0.0000, 0.2452), Sb at (0.1647, 0.5000, 0.0874) and Sb at (0.1684, 0.5000, 0.5787).

The density of states at the Fermi level comes out at 0.506 states/eV per atom. The formation energy from raw total energies is -1.036 eV/atom. The value obtained for the total energy is -150.30 eV/cell.

Here is crystalline TbTh2ZrSb5 at its relaxed geometry from the Alexandria database. Energies are from PBE.

It has space group P4/mmm (No. 123), with a = 5.2869 Å, b = 5.2869 Å, c = 11.1973 Å, α = 90.00°, β = 90.00° and γ = 90.00°. The inequivalent atoms are Tb at (0.0000, 0.0000, 0.0000), Th at (0.5000, 0.5000, 0.1960), Zr at (0.0000, 0.0000, 0.5000), Sb at (0.0000, 0.0000, 0.2590), Sb at (0.0000, 0.5000, 0.0000) and Sb at (0.5000, 0.5000, 0.5000).

The density of states at the Fermi level comes out at 0.391 states/eV per atom. The formation energy from raw total energies is 0.001 eV/atom. The value obtained for the total energy is -48.62 eV/cell.

Here is crystalline TbTi3Sb2 at its relaxed geometry from the Alexandria database. Energies are from PBE.

It has space group C2/m (No. 12), with a = 16.8859 Å, b = 4.1204 Å, c = 8.5132 Å, α = 90.00°, β = 116.20° and γ = 90.00°. The inequivalent atoms are Tb at (0.1353, 0.0000, 0.0549), Ti at (0.0577, 0.0000, 0.4206), Ti at (0.0858, 0.5000, 0.6605), Ti at (0.1906, 0.5000, 0.4775), Sb at (0.0255, 0.5000, 0.1850) and Sb at (0.2157, 0.0000, 0.7421).

The density of states at the Fermi level comes out at 0.873 states/eV per atom. The formation energy from raw total energies is -0.480 eV/atom. The value obtained for the total energy is -157.76 eV/cell.

Here is crystalline TbTiSb at its relaxed geometry from the Alexandria database. Energies are from PBE.

It has space group Immm (No. 71), with a = 3.8958 Å, b = 4.8313 Å, c = 16.6105 Å, α = 90.00°, β = 90.00° and γ = 90.00°. The inequivalent atoms are Tb at (0.0000, 0.0000, 0.1612), Ti at (0.0000, 0.2627, 0.5000) and Sb at (0.0000, 0.0000, 0.3460).

The density of states at the Fermi level comes out at 1.102 states/eV per atom. The formation energy from raw total energies is -0.344 eV/atom. The value obtained for the total energy is -70.71 eV/cell.

Here is crystalline Tb8Tl2Sb at its relaxed geometry from the Alexandria database. Energies are from PBE.

It has space group C2/m (No. 12), with a = 8.7215 Å, b = 14.7281 Å, c = 5.6336 Å, α = 90.00°, β = 112.66° and γ = 90.00°. The inequivalent atoms are Tb at (0.0000, 0.2192, 0.0000), Tb at (0.1007, 0.5000, 0.7962), Tb at (0.2039, 0.1117, 0.6172), Tl at (0.0000, 0.3061, 0.5000) and Sb at (0.0000, 0.0000, 0.0000).

The density of states at the Fermi level comes out at 1.273 states/eV per atom. The formation energy from raw total energies is -0.187 eV/atom. The value obtained for the total energy is -95.91 eV/cell.

Here is crystalline Tb7Tl2Sb2 at its relaxed geometry from the Alexandria database. Energies are from PBE.

It has space group Cmmm (No. 65), with a = 8.4317 Å, b = 11.0729 Å, c = 7.5307 Å, α = 90.00°, β = 90.00° and γ = 90.00°. The inequivalent atoms are Tb at (0.0000, 0.0000, 0.0000), Tb at (0.0000, 0.5000, 0.2646), Tb at (0.2500, 0.2500, 0.2787), Tl at (0.1799, 0.0000, 0.5000) and Sb at (0.0000, 0.2812, 0.0000).

The density of states at the Fermi level comes out at 1.309 states/eV per atom. The formation energy from raw total energies is -0.294 eV/atom. The value obtained for the total energy is -97.25 eV/cell.